The following is a DFT calculation (PBE-GGA) of a geometry-optimized CuPtW2 structure.

abc: 9.288 9.288 9.288
angles: 17.14 17.14 17.14
Sites, in units of the cell vectors:
Cu (0.000, 0.000, 0.000)
Pt (0.500, 0.500, 0.500)
W (0.252, 0.252, 0.252)
W (0.748, 0.748, 0.748)

DFT formation energy = 18 kJ per mole of atoms
uncorrected energy = -8.827 eV/atom
offset from the most stable computed form = 169 meV per atom